# 1
DFT (GGA-PBE) results for a geometry-optimized Nd5Sm12Ga3 structure.

Cell and atoms, written as extended XYZ:
```
80
Lattice="-8.8070 8.8070 8.8070 8.8070 -8.8070 8.8070 8.8070 8.8070 -8.8070" Properties=species:S:1:pos:R:3 pbc="T T T"
Nd 0.0000 0.0000 0.0000
Nd 4.4035 4.4035 -4.4035
Nd 4.4035 -4.4035 4.4035
Nd 8.8070 0.0000 0.0000
Nd 13.2105 2.2017 0.0000
Nd 8.8070 -4.4035 6.6052
Nd 6.6052 8.8070 -4.4035
Nd 6.6052 0.0000 4.4035
Nd 4.4035 6.6052 0.0000
Nd 8.8070 4.4035 2.2017
Nd -4.4035 4.4035 4.4035
Nd 0.0000 8.8070 0.0000
Nd 0.0000 0.0000 8.8070
Nd 4.4035 4.4035 4.4035
Nd 0.0000 4.4035 6.6052
Nd 4.4035 2.2017 8.8070
Nd 2.2017 8.8070 4.4035
Nd 2.2017 0.0000 13.2105
Nd 0.0000 13.2105 2.2017
Nd -4.4035 6.6052 8.8070
Sm 2.7702 -0.2510 1.4433
Sm 10.4403 5.8468 -4.6545
Sm 8.5560 -1.4433 2.7702
Sm 13.4615 -1.6333 2.9602
Sm 11.5772 0.2510 1.4433
Sm 10.4403 -2.9602 4.6545
Sm 1.4433 2.7702 -0.2510
Sm 11.7672 4.1525 -1.6333
Sm 5.8468 4.6545 -1.6333
Sm 7.3637 2.7702 0.2510
Sm -0.2510 1.4433 2.7702
Sm 4.6545 -1.6333 5.8468
Sm 8.5560 7.3637 -2.7702
Sm 4.6545 1.6333 2.9602
Sm 7.3637 -2.7702 8.5560
Sm 5.8468 -4.6545 10.4403
Sm 2.9602 4.6545 1.6333
Sm 10.2502 6.0368 0.2510
Sm 2.7702 8.5560 -1.4433
Sm 10.4403 2.9602 4.1525
Sm 4.6545 10.4403 -2.9602
Sm 8.5560 1.4433 6.0368
Sm 1.6333 2.9602 4.6545
Sm 2.7702 0.2510 7.3637
Sm 6.0368 8.5560 1.4433
Sm 7.1737 5.8468 4.1525
Sm 0.2510 7.3637 2.7702
Sm 4.1525 -1.6333 11.7672
Sm -1.6333 5.8468 4.6545
Sm 6.0368 0.2510 10.2502
Sm -1.4433 2.7702 8.5560
Sm 5.8468 4.1525 7.1737
Sm 2.9602 13.4615 -1.6333
Sm 1.4433 11.5772 0.2510
Sm 4.1525 7.1737 5.8468
Sm 0.2510 1.4433 11.5772
Sm 4.1525 10.4403 2.9602
Sm 9.0580 7.3637 6.0368
Sm 1.4433 6.0368 8.5560
Sm 2.9602 4.1525 10.4403
Sm -2.9602 4.6545 10.4403
Sm 7.3637 6.0368 9.0580
Sm -1.6333 11.7672 4.1525
Sm -2.7702 8.5560 7.3637
Sm -4.6545 10.4403 5.8468
Sm 0.2510 10.2502 6.0368
Sm -1.6333 2.9602 13.4615
Sm 6.0368 9.0580 7.3637
Ga 4.4035 2.2017 0.0000
Ga 8.8070 4.4035 -2.2017
Ga 2.2017 0.0000 4.4035
Ga 11.0087 0.0000 4.4035
Ga 0.0000 4.4035 2.2017
Ga 4.4035 -2.2017 8.8070
Ga 4.4035 11.0087 0.0000
Ga 8.8070 4.4035 6.6052
Ga -2.2017 8.8070 4.4035
Ga 6.6052 8.8070 4.4035
Ga 0.0000 4.4035 11.0087
Ga 4.4035 6.6052 8.8070
```

Output
DOS at the Fermi energy in states/eV per atom: 1.260
Total energy in eV/atom: -3.8184
ΔH_f (0 K) in eV per atom: 0.659



# 2
DFT (GGA-PBE) results for a geometry-optimized Nd8SmGa2 structure.

Cell and atoms, written as extended XYZ:
```
11
Lattice="4.4532 -7.3039 0.0000 4.4532 7.3039 0.0000 -2.1024 0.0000 5.4829" Properties=species:S:1:pos:R:3 pbc="T T T"
Nd 0.5464 1.7439 3.2455
Nd 4.4532 3.8537 0.0000
Nd 0.5464 -1.7439 3.2455
Nd 3.1818 0.0000 1.1088
Nd 3.6221 0.0000 4.3741
Nd 6.2575 1.7439 2.2374
Nd 4.4532 -3.8537 0.0000
Nd 6.2575 -1.7439 2.2374
Sm 0.0000 0.0000 0.0000
Ga 3.4020 2.8226 2.7414
Ga 3.4020 -2.8226 2.7414
```

Output
DOS at the Fermi energy in states/eV per atom: 1.484
Total energy in eV/atom: -4.5437
ΔH_f (0 K) in eV per atom: -0.097



# 3
DFT (GGA-PBE) results for a geometry-optimized NdSm2Ga3 structure.

Cell and atoms, written as extended XYZ:
```
12
Lattice="5.1762 0.0000 0.0000 -2.5881 4.4827 0.0000 0.0000 0.0000 12.7359" Properties=species:S:1:pos:R:3 pbc="T T T"
Nd 0.0000 2.9885 2.1229
Nd 2.5881 1.4942 10.6130
Sm 0.0000 0.0000 0.0000
Sm 0.0000 0.0000 6.3680
Sm 0.0000 2.9885 8.4746
Sm 2.5881 1.4942 4.2613
Ga 0.0000 0.0000 3.2042
Ga 0.0000 0.0000 9.5318
Ga 0.0000 2.9885 5.3170
Ga 0.0000 2.9885 11.6674
Ga 2.5881 1.4942 1.0685
Ga 2.5881 1.4942 7.4189
```

Output
DOS at the Fermi energy in states/eV per atom: 0.460
Total energy in eV/atom: -4.4460
ΔH_f (0 K) in eV per atom: -0.565



- ΔH_f (0 K) of number 3 (NdSm2Ga3)?
  -0.565 eV per atom